Model P:
## V2Co6Tc (GGA-PBE)

Data for a geometry-optimized V2Co6Tc structure.

a b c (Å): 5.5716 4.7755 4.7756
angles (deg): 120.00 90.00 90.00
Each line ends with the local moment (μB).
Fractional positions:
Co1 0.1689 0.1749 0.3498  0.57
Co2 0.1689 0.1749 0.8251  0.57
Co3 0.1689 0.6502 0.8251  0.57
Co4 0.8311 0.8251 0.1749  0.57
Co5 0.8311 0.8251 0.6502  0.57
Co6 0.8311 0.3498 0.1749  0.57
Tc1 0.5000 0.0000 0.0000  0.04
V1 0.6315 0.3333 0.6667  -0.69
V2 0.3685 0.6667 0.3333  -0.69

Values from the calculation:
SG: P-3m1
Total magnetization (μB per cell): 1.922
Density of states at the Fermi level (states/eV/atom): 1.404

Model Q:
## V2Co6Tc (GGA-PBE)

Data for a geometry-optimized V2Co6Tc structure.

a b c (Å): 6.2162 4.5087 4.5087
angles (deg): 63.89 74.32 74.32
Each line ends with the local moment (μB).
Fractional positions:
Co1 0.6975 0.2044 0.6761  0.69
Co2 0.3025 0.7956 0.3239  0.69
Co3 0.3025 0.3239 0.7956  0.69
Co4 0.4486 0.7764 0.7764  1.44
Co5 0.5514 0.2236 0.2236  1.44
Co6 0.6975 0.6761 0.2044  0.69
V1 0.8898 0.6752 0.6752  -0.36
V2 0.1102 0.3248 0.3248  -0.36
Tc1 0.0000 0.0000 0.0000  0.07

Values from the calculation:
SG: C2/m
Total magnetization (μB per cell): 4.860
Density of states at the Fermi level (states/eV/atom): 1.351

Which structure wins on stability? model Q wins.

Model P:
## V2CoTc2 (GGA-PBE)

Data for a geometry-optimized V2CoTc2 structure.

a b c (Å): 6.9233 6.9233 2.9441
angles (deg): 90.00 90.00 90.00
Each line ends with the local moment (μB).
Fractional positions:
Tc1 0.1591 0.6591 0.5000  -0.04
Tc2 0.3409 0.1591 0.5000  -0.04
Tc3 0.8409 0.3409 0.5000  -0.04
Tc4 0.6591 0.8409 0.5000  -0.04
V1 0.8538 0.6462 0.0000  -0.06
V2 0.3538 0.8538 0.0000  -0.06
V3 0.1462 0.3538 0.0000  -0.06
V4 0.6462 0.1462 0.0000  -0.06
Co1 0.0000 0.0000 0.0000  1.40
Co2 0.5000 0.5000 0.0000  1.40

Values from the calculation:
SG: P4/mbm
Total magnetization (μB per cell): 2.230
Density of states at the Fermi level (states/eV/atom): 1.055

Model Q:
## V2CoTc2 (GGA-PBE)

Data for a geometry-optimized V2CoTc2 structure.

a b c (Å): 3.9334 3.9334 5.8439
angles (deg): 70.33 70.33 90.00
Each line ends with the local moment (μB).
Fractional positions:
Tc1 0.7500 0.2500 0.5000  0.03
Tc2 0.2500 0.7500 0.5000  0.03
V1 0.3852 0.3852 0.2296  0.25
V2 0.6148 0.6148 0.7704  0.25
Co1 0.0000 0.0000 0.0000  1.90

Values from the calculation:
SG: I4/mmm
Total magnetization (μB per cell): 2.425
Density of states at the Fermi level (states/eV/atom): 1.481

Which structure wins on stability? model P wins.

Model P:
## CoTcW (GGA-PBE)

Data for a geometry-optimized CoTcW structure.

a b c (Å): 6.0623 6.0613 2.6760
angles (deg): 77.27 77.23 25.50
Each line ends with the local moment (μB).
Fractional positions:
W1 0.3423 0.3423 0.6577  0.03
Tc1 0.6534 0.6534 0.3466  0.08
Co1 0.0042 0.0042 0.9958  0.42

Values from the calculation:
SG: I4mm
Total magnetization (μB per cell): 0.520
Density of states at the Fermi level (states/eV/atom): 1.210

Model Q:
## CoTcW (GGA-PBE)

Data for a geometry-optimized CoTcW structure.

a b c (Å): 4.8259 4.8259 4.8259
angles (deg): 141.96 141.96 54.89
Each line ends with the local moment (μB).
Fractional positions:
Tc1 0.3305 0.3305 0.0000  0.38
Co1 0.0045 0.0045 0.0000  1.47
W1 0.6650 0.6650 0.0000  0.01

Values from the calculation:
SG: I4mm
Total magnetization (μB per cell): 1.889
Density of states at the Fermi level (states/eV/atom): 1.135

Which structure wins on stability? model P wins.

Model P:
## CoTcW (GGA-PBE)

Data for a geometry-optimized CoTcW structure.

a b c (Å): 4.3042 4.3042 2.6339
angles (deg): 90.00 90.00 120.00
Each line ends with the local moment (μB).
Fractional positions:
Tc1 0.6667 0.3333 0.3698  0.10
Co1 0.0000 0.0000 0.9369  1.08
W1 0.3333 0.6667 0.6933  -0.05

Values from the calculation:
SG: P3m1
Total magnetization (μB per cell): 1.105
Density of states at the Fermi level (states/eV/atom): 1.319

Model Q:
## CoTcW (GGA-PBE)

Data for a geometry-optimized CoTcW structure.

a b c (Å): 4.7449 4.7297 8.8429
angles (deg): 82.27 74.44 59.89
Fractional positions:
W1 0.1725 0.5000 0.6550
W2 0.4225 0.0000 0.1550
W3 0.5775 0.0000 0.8450
W4 0.3275 0.5000 0.3450
Tc1 0.9172 0.1657 0.5000
Tc2 0.5828 0.8343 0.5000
Tc3 0.8328 0.3343 0.0000
Tc4 0.1672 0.6657 0.0000
Co1 0.6246 0.5000 0.7507
Co2 0.1254 0.0000 0.7493
Co3 0.8746 0.0000 0.2507
Co4 0.8754 0.5000 0.2493

Values from the calculation:
SG: Fddd
Total magnetization (μB per cell): 0.000
Density of states at the Fermi level (states/eV/atom): 0.945

Which structure wins on stability? model Q wins.

Model P:
## CoTcW2 (GGA-PBE)

Data for a geometry-optimized CoTcW2 structure.

a b c (Å): 4.3542 4.3542 4.3542
angles (deg): 60.00 60.00 60.00
Each line ends with the local moment (μB).
Fractional positions:
Co1 0.0000 0.0000 0.0000  1.25
W1 0.2500 0.2500 0.2500  0.19
W2 0.7500 0.7500 0.7500  0.19
Tc1 0.5000 0.5000 0.5000  0.06

Values from the calculation:
SG: Fm-3m
Total magnetization (μB per cell): 1.716
Density of states at the Fermi level (states/eV/atom): 1.684

Model Q:
## CoTcW2 (GGA-PBE)

Data for a geometry-optimized CoTcW2 structure.

a b c (Å): 9.0387 9.0387 9.0387
angles (deg): 17.54 17.54 17.54
Each line ends with the local moment (μB).
Fractional positions:
Co1 0.2500 0.2500 0.2500  0.84
W1 0.9965 0.9965 0.9965  0.01
W2 0.5035 0.5035 0.5035  0.01
Tc1 0.7500 0.7500 0.7500  0.12

Values from the calculation:
SG: R-3m
Total magnetization (μB per cell): 0.994
Density of states at the Fermi level (states/eV/atom): 1.403

Model R:
## CoTcW2 (GGA-PBE)

Data for a geometry-optimized CoTcW2 structure.

a b c (Å): 4.3397 2.6737 5.1116
angles (deg): 80.14 90.00 90.00
Fractional positions:
W1 0.5000 0.2882 0.2643
W2 0.0000 0.0302 0.9951
Tc1 0.5000 0.7864 0.7491
Co1 0.0000 0.3952 0.4914

Values from the calculation:
SG: Pm
Total magnetization (μB per cell): 0.001
Density of states at the Fermi level (states/eV/atom): 0.951

Which structure wins on stability? model R wins.

Model P:
## YCoTc (GGA-PBE)

Data for a geometry-optimized YCoTc structure.

a b c (Å): 5.1428 5.1428 6.0445
angles (deg): 80.51 129.39 116.61
Each line ends with the local moment (μB).
Fractional positions:
Co1 0.0000 0.0000 0.5000  0.48
Co2 0.5000 0.5000 0.5000  0.48
Y1 0.2332 0.6377 0.8710  -0.03
Y2 0.7668 0.3623 0.1290  -0.03
Tc1 0.2303 0.0203 0.2506  0.15
Tc2 0.7697 0.9797 0.7494  0.15

Values from the calculation:
SG: C2/m
Total magnetization (μB per cell): 1.164
Density of states at the Fermi level (states/eV/atom): 0.932

Model Q:
## YCoTc (GGA-PBE)

Data for a geometry-optimized YCoTc structure.

a b c (Å): 4.3342 4.3342 4.3342
angles (deg): 60.00 60.00 60.00
Each line ends with the local moment (μB).
Fractional positions:
Y1 0.5000 0.5000 0.5000  -0.05
Tc1 0.0000 0.0000 0.0000  0.88
Co1 0.2500 0.2500 0.2500  0.94

Values from the calculation:
SG: F-43m
Total magnetization (μB per cell): 1.796
Density of states at the Fermi level (states/eV/atom): 1.539

Model R:
## YCoTc (GGA-PBE)

Data for a geometry-optimized YCoTc structure.

a b c (Å): 4.9831 5.2971 5.2971
angles (deg): 61.62 61.94 61.94
Each line ends with the local moment (μB).
Fractional positions:
Co1 0.5000 0.0000 0.5000  0.93
Co2 0.5000 0.5000 0.0000  0.93
Y1 0.1206 0.6294 0.6294  -0.10
Y2 0.8794 0.3706 0.3706  -0.10
Tc1 0.0000 0.0000 0.0000  0.31
Tc2 0.5000 0.0000 0.0000  0.31

Values from the calculation:
SG: Imma
Total magnetization (μB per cell): 2.150
Density of states at the Fermi level (states/eV/atom): 0.948

Model S:
## YCoTc (GGA-PBE)

Data for a geometry-optimized YCoTc structure.

a b c (Å): 4.4532 4.4532 4.4532
angles (deg): 60.00 60.00 60.00
Each line ends with the local moment (μB).
Fractional positions:
Y1 0.2500 0.2500 0.2500  -0.09
Tc1 0.5000 0.5000 0.5000  1.86
Co1 0.0000 0.0000 0.0000  1.32

Values from the calculation:
SG: F-43m
Total magnetization (μB per cell): 3.191
Density of states at the Fermi level (states/eV/atom): 0.848

Which structure wins on stability? model R wins.

Model P:
## YCoTc (GGA-PBE)

Data for a geometry-optimized YCoTc structure.

a b c (Å): 3.9610 3.9610 4.2573
angles (deg): 90.00 90.00 120.00
Fractional positions:
Y1 0.3333 0.6667 0.6667
Co1 0.0000 0.0000 0.1667
Tc1 0.6667 0.3333 0.1667

Values from the calculation:
SG: P-6m2
Total magnetization (μB per cell): 0.000
Density of states at the Fermi level (states/eV/atom): 0.864

Model Q:
## YCoTc (GGA-PBE)

Data for a geometry-optimized YCoTc structure.

a b c (Å): 5.8443 5.8131 3.1214
angles (deg): 75.02 73.92 31.06
Fractional positions:
Tc1 0.3681 0.3681 0.6319
Y1 0.6651 0.6651 0.3349
Co1 0.9668 0.9668 0.0332

Values from the calculation:
SG: Fmm2
Total magnetization (μB per cell): 0.000
Density of states at the Fermi level (states/eV/atom): 1.053

Which structure wins on stability? model P wins.

Model P:
## ZrCoTc2 (GGA-PBE)

Data for a geometry-optimized ZrCoTc2 structure.

a b c (Å): 4.3192 4.3192 3.2978
angles (deg): 90.00 90.00 90.00
Each line ends with the local moment (μB).
Fractional positions:
Co1 0.0000 0.5000 0.5000  1.53
Tc1 0.0000 0.0000 0.0000  0.36
Tc2 0.5000 0.5000 0.0000  0.36
Zr1 0.5000 0.0000 0.5000  -0.05

Values from the calculation:
SG: P4/mmm
Total magnetization (μB per cell): 2.198
Density of states at the Fermi level (states/eV/atom): 1.258

Model Q:
## ZrCoTc2 (GGA-PBE)

Data for a geometry-optimized ZrCoTc2 structure.

a b c (Å): 4.9200 4.9200 4.6135
angles (deg): 77.11 77.11 34.48
Each line ends with the local moment (μB).
Fractional positions:
Zr1 0.7500 0.7500 0.7500  -0.03
Tc1 0.9733 0.9733 0.0382  0.04
Tc2 0.5267 0.5267 0.4618  0.04
Co1 0.2500 0.2500 0.2500  0.65

Values from the calculation:
SG: C2/m
Total magnetization (μB per cell): 0.673
Density of states at the Fermi level (states/eV/atom): 1.130

Model R:
## ZrCoTc2 (GGA-PBE)

Data for a geometry-optimized ZrCoTc2 structure.

a b c (Å): 4.4327 4.4327 4.4327
angles (deg): 60.00 60.00 60.00
Each line ends with the local moment (μB).
Fractional positions:
Zr1 0.2500 0.2500 0.2500  -0.07
Tc1 0.7500 0.7500 0.7500  0.59
Tc2 0.0000 0.0000 0.0000  0.05
Co1 0.5000 0.5000 0.5000  1.41

Values from the calculation:
SG: F-43m
Total magnetization (μB per cell): 1.955
Density of states at the Fermi level (states/eV/atom): 0.957

Model S:
## ZrCoTc2 (GGA-PBE)

Data for a geometry-optimized ZrCoTc2 structure.

a b c (Å): 7.4000 7.4000 5.7667
angles (deg): 50.09 50.09 90.00
Fractional positions:
Tc1 0.5642 0.1250 0.2500
Tc2 0.1858 0.6250 0.2500
Tc3 0.3750 0.4358 0.7500
Tc4 0.8750 0.8142 0.7500
Co1 0.5000 0.5000 0.0000
Co2 0.2500 0.7500 0.5000
Zr1 0.7500 0.2500 0.5000
Zr2 0.0000 0.0000 0.0000

Values from the calculation:
SG: I-42d
Total magnetization (μB per cell): 0.000
Density of states at the Fermi level (states/eV/atom): 1.575

Which structure wins on stability? model R wins.

Model P:
## ZrCoTc2 (GGA-PBE)

Data for a geometry-optimized ZrCoTc2 structure.

a b c (Å): 4.2405 2.9187 5.1039
angles (deg): 78.43 90.00 90.00
Fractional positions:
Tc1 0.0000 0.8736 0.0328
Tc2 0.5000 0.2187 0.1882
Co1 0.5000 0.9203 0.7304
Zr1 0.0000 0.4873 0.5486

Values from the calculation:
SG: Pm
Total magnetization (μB per cell): 0.000
Density of states at the Fermi level (states/eV/atom): 1.111

Model Q:
## ZrCoTc2 (GGA-PBE)

Data for a geometry-optimized ZrCoTc2 structure.

a b c (Å): 5.2022 5.2022 2.7715
angles (deg): 79.16 79.16 118.24
Each line ends with the local moment (μB).
Fractional positions:
Zr1 0.5000 0.0000 0.5000  -0.06
Tc1 0.0000 0.0000 0.0000  0.17
Tc2 0.5000 0.5000 0.0000  0.17
Co1 0.0000 0.5000 0.5000  1.39

Values from the calculation:
SG: C2/m
Total magnetization (μB per cell): 1.647
Density of states at the Fermi level (states/eV/atom): 1.100

Model R:
## ZrCoTc2 (GGA-PBE)

Data for a geometry-optimized ZrCoTc2 structure.

a b c (Å): 4.5238 2.8707 4.8076
angles (deg): 83.03 90.00 90.00
Each line ends with the local moment (μB).
Fractional positions:
Tc1 0.0000 0.9530 0.9919  0.27
Tc2 0.0000 0.5470 0.5081  0.27
Co1 0.5000 0.7500 0.7500  1.35
Zr1 0.5000 0.2500 0.2500  -0.02

Values from the calculation:
SG: P2/m
Total magnetization (μB per cell): 1.882
Density of states at the Fermi level (states/eV/atom): 1.326

Model S:
## ZrCoTc2 (GGA-PBE)

Data for a geometry-optimized ZrCoTc2 structure.

a b c (Å): 4.4373 4.4373 4.4373
angles (deg): 60.00 60.00 60.00
Each line ends with the local moment (μB).
Fractional positions:
Co1 0.0000 0.0000 0.0000  1.82
Zr1 0.5000 0.5000 0.5000  0.02
Tc1 0.2500 0.2500 0.2500  0.66
Tc2 0.7500 0.7500 0.7500  0.66

Values from the calculation:
SG: Fm-3m
Total magnetization (μB per cell): 3.205
Density of states at the Fermi level (states/eV/atom): 0.788

Which structure wins on stability? model P wins.

Model P:
## Zr2Co2Tc (GGA-PBE)

Data for a geometry-optimized Zr2Co2Tc structure.

a b c (Å): 3.2773 3.2773 8.1765
angles (deg): 78.44 78.44 90.00
Each line ends with the local moment (μB).
Fractional positions:
Co1 0.7500 0.2500 0.5000  1.32
Co2 0.2500 0.7500 0.5000  1.32
Tc1 0.0000 0.0000 0.0000  0.05
Zr1 0.6034 0.6034 0.7931  -0.08
Zr2 0.3966 0.3966 0.2069  -0.08

Values from the calculation:
SG: I4/mmm
Total magnetization (μB per cell): 2.459
Density of states at the Fermi level (states/eV/atom): 0.846

Model Q:
## Zr2Co2Tc (GGA-PBE)

Data for a geometry-optimized Zr2Co2Tc structure.

a b c (Å): 6.5213 6.5213 3.7639
angles (deg): 90.00 90.00 90.00
Fractional positions:
Tc1 0.0000 0.0000 0.0000
Tc2 0.5000 0.5000 0.0000
Zr1 0.1798 0.6798 0.5000
Zr2 0.3202 0.1798 0.5000
Zr3 0.6798 0.8202 0.5000
Zr4 0.8202 0.3202 0.5000
Co1 0.3763 0.8763 0.0000
Co2 0.6237 0.1237 0.0000
Co3 0.1237 0.3763 0.0000
Co4 0.8763 0.6237 0.0000

Values from the calculation:
SG: P4/mbm
Total magnetization (μB per cell): 0.000
Density of states at the Fermi level (states/eV/atom): 1.336

Which structure wins on stability? model Q wins.